## LaReN3 (PBE-GGA)

Data for a geometry-optimized LaReN3 structure. Values from VASP.

Calculated values
- symmetry = No. 14
- calculated density (g cm⁻³) = 6.62
- total energy (eV per atom) = -9.18
- raw formation energy (kcal/mol of atoms) = -16.31

Structure (Quantum ESPRESSO input):
```
&SYSTEM
  ibrav = 0, nat = 20, ntyp = 3
/
ATOMIC_SPECIES
Re 186.21 Re.upf
La 138.91 La.upf
N 14.01 N.upf
CELL_PARAMETERS angstrom
18.1914 0.0000 0.9733
0.0000 5.3776 0.0000
-6.1760 0.0000 3.4368
ATOMIC_POSITIONS crystal
Re 0.4919 0.7797 0.5710
Re 0.5081 0.2203 0.4290
Re 0.0081 0.2797 0.9290
Re 0.9919 0.7203 0.0710
La 0.1666 0.2916 0.7215
La 0.8334 0.7084 0.2785
La 0.3334 0.7916 0.7785
La 0.6666 0.2084 0.2215
N 0.3486 0.9980 0.1337
N 0.6514 0.0020 0.8663
N 0.1514 0.4980 0.3663
N 0.8486 0.5020 0.6337
N 0.3818 0.5205 0.1776
N 0.6182 0.4795 0.8224
N 0.1182 0.0205 0.3224
N 0.8818 0.9795 0.6776
N 0.4653 0.8062 0.7585
N 0.5347 0.1938 0.2415
N 0.0347 0.3062 0.7415
N 0.9653 0.6938 0.2585
```